1.
Computed, not measured: an optimized crystal structure of AcIn2As at the PBE level of DFT.

Summary:
Calculated total energy   -41.792 eV/cell
Excess energy over the best structure of this formula in the dataset   0.6158 eV/atom
Density of states at the Fermi level   9.148 states/eV/cell
Formation energy   0.30 eV/f.u.

Cell and atoms, written as CIF:
```
data_AcIn2As
_chemical_formula_sum 'Ac3 In6 As3'
_symmetry_space_group_name_H-M 'R -3 m'
_symmetry_Int_Tables_number 166
_symmetry_space_group_name_Hall '-R 3 2"'
_cell_length_a 3.9322
_cell_length_b 3.9322
_cell_length_c 30.9894
_cell_angle_alpha 90.00
_cell_angle_beta 90.00
_cell_angle_gamma 120.00
loop_
_atom_site_label
_atom_site_type_symbol
_atom_site_fract_x
_atom_site_fract_y
_atom_site_fract_z
Ac1 Ac 0.0000 0.0000 0.0000
In1 In 0.0000 0.0000 0.1114
As1 As 0.0000 0.0000 0.5000
```

2.
Computed, not measured: an optimized crystal structure of KSc3Br at the PBE level of DFT.

Summary:
Uncorrected formation energy   1.42 eV per atom
Calculated total energy   -14.660 eV/cell
Excess energy over the best structure of this formula in the dataset   1.1176 eV/atom
Density of states at the Fermi level   6.444 states/eV/cell

Cell and atoms, written as CIF:
```
data_KSc3Br
_chemical_formula_sum 'K1 Sc3 Br1'
_symmetry_space_group_name_H-M 'P m -3 m'
_symmetry_Int_Tables_number 221
_symmetry_space_group_name_Hall '-P 4 2 3'
_cell_length_a 5.333
_cell_length_b 5.333
_cell_length_c 5.333
_cell_angle_alpha 90.00
_cell_angle_beta 90.00
_cell_angle_gamma 90.00
loop_
_atom_site_label
_atom_site_type_symbol
_atom_site_fract_x
_atom_site_fract_y
_atom_site_fract_z
K1 K 0.000 0.000 0.000
Sc1 Sc 0.000 0.000 0.500
Br1 Br 0.500 0.500 0.500
```

3.
Computed, not measured: an optimized crystal structure of Y2AsW at the PBE level of DFT.

Summary:
Calculated total energy   -31.144 eV/cell
Density of states at the Fermi level   4.994 states/eV/cell
Formation energy   -0.61 eV/f.u.

Cell and atoms, written as CIF:
```
data_Y2AsW
_chemical_formula_sum 'Y2 As1 W1'
_symmetry_space_group_name_H-M 'P 4/m m m'
_symmetry_Int_Tables_number 123
_symmetry_space_group_name_Hall '-P 4 2'
_cell_length_a 3.661
_cell_length_b 3.661
_cell_length_c 6.577
_cell_angle_alpha 90.00
_cell_angle_beta 90.00
_cell_angle_gamma 90.00
loop_
_atom_site_label
_atom_site_type_symbol
_atom_site_fract_x
_atom_site_fract_y
_atom_site_fract_z
Y1 Y 0.000 0.000 0.244
As1 As 0.500 0.500 0.000
W1 W 0.500 0.500 0.500
```

4.
Computed, not measured: an optimized crystal structure of TbNd7Ho4 at the PBE level of DFT.

Summary:
Calculated total energy   -107.518 eV/cell
Excess energy over the best structure of this formula in the dataset   0.2086 eV/atom
Density of states at the Fermi level   38.658 states/eV/cell
Formation energy   2.56 eV/f.u.

Cell and atoms, written as CIF:
```
data_TbNd7Ho4
_chemical_formula_sum 'Tb2 Nd14 Ho8'
_symmetry_space_group_name_H-M 'C 1 2/m 1'
_symmetry_Int_Tables_number 12
_cell_length_a 16.192
_cell_length_b 6.009
_cell_length_c 9.434
_cell_angle_alpha 90.00
_cell_angle_beta 116.42
_cell_angle_gamma 90.00
loop_
_symmetry_equiv_pos_as_xyz
'x,y,z'
'-x,-y,-z'
'-x,y,-z'
'x,-y,z'
'x+1/2,y+1/2,z'
'-x+1/2,-y+1/2,-z'
'-x+1/2,y+1/2,-z'
'x+1/2,-y+1/2,z'
loop_
_atom_site_label
_atom_site_type_symbol
_atom_site_fract_x
_atom_site_fract_y
_atom_site_fract_z
Tb1 Tb 0.000 0.000 0.000
Nd1 Nd 0.000 0.500 0.000
Nd2 Nd 0.085 0.000 0.447
Nd3 Nd 0.211 0.000 0.236
Nd4 Nd 0.212 0.000 0.883
Ho1 Ho 0.071 0.500 0.698
Ho2 Ho 0.171 0.500 0.385
```

5.
Computed, not measured: an optimized crystal structure of BeCuSi2 at the PBE level of DFT.

Summary:
Uncorrected formation energy   0.28 eV per atom
Calculated total energy   -35.104 eV/cell
Density of states at the Fermi level   2.783 states/eV/cell

Cell and atoms, written as CIF:
```
data_BeCuSi2
_chemical_formula_sum 'Be2 Cu2 Si4'
_symmetry_space_group_name_H-M 'I m m 2'
_symmetry_Int_Tables_number 44
_cell_length_a 2.518
_cell_length_b 3.849
_cell_length_c 10.688
_cell_angle_alpha 90.00
_cell_angle_beta 90.00
_cell_angle_gamma 90.00
loop_
_symmetry_equiv_pos_as_xyz
'x,y,z'
'-x,-y,z'
'-x,y,z'
'x,-y,z'
'x+1/2,y+1/2,z+1/2'
'-x+1/2,-y+1/2,z+1/2'
'-x+1/2,y+1/2,z+1/2'
'x+1/2,-y+1/2,z+1/2'
loop_
_atom_site_label
_atom_site_type_symbol
_atom_site_fract_x
_atom_site_fract_y
_atom_site_fract_z
Be1 Be 0.000 0.000 0.000
Cu1 Cu 0.000 0.500 0.698
Si1 Si 0.000 0.000 0.536
Si2 Si 0.000 0.500 0.307
```

6.
Computed, not measured: an optimized crystal structure of NdDy5Ho2Sc at the PBE level of DFT.

Summary:
Calculated total energy   -166.878 eV/cell
Density of states at the Fermi level   58.168 states/eV/cell
Formation energy   1.55 eV/f.u.

Cell and atoms, written as CIF:
```
data_NdDy5Ho2Sc
_chemical_formula_sum 'Nd4 Dy20 Ho8 Sc4'
_symmetry_space_group_name_H-M 'C m c 21'
_symmetry_Int_Tables_number 36
_cell_length_a 5.563
_cell_length_b 19.698
_cell_length_c 10.375
_cell_angle_alpha 90.00
_cell_angle_beta 90.00
_cell_angle_gamma 90.00
loop_
_symmetry_equiv_pos_as_xyz
'x,y,z'
'-x,-y,z+1/2'
'-x,y,z'
'x,-y,z+1/2'
'x+1/2,y+1/2,z'
'-x+1/2,-y+1/2,z+1/2'
'-x+1/2,y+1/2,z'
'x+1/2,-y+1/2,z+1/2'
loop_
_atom_site_label
_atom_site_type_symbol
_atom_site_fract_x
_atom_site_fract_y
_atom_site_fract_z
Nd1 Nd 0.000 0.087 0.000
Dy1 Dy 0.000 0.019 0.285
Dy2 Dy 0.000 0.123 0.567
Dy3 Dy 0.000 0.202 0.252
Dy4 Dy 0.000 0.223 0.868
Dy5 Dy 0.000 0.481 0.566
Ho1 Ho 0.000 0.386 0.282
Ho2 Ho 0.000 0.388 0.861
Sc1 Sc 0.000 0.304 0.561
```